# Rb3Sm3BiS8

Crystalline Rb3Sm3BiS8 at its relaxed geometry (PBE, Alexandria).

Unit cell a=9.178 b=9.178 c=9.178 alpha=53.36 beta=53.36 gamma=53.36
Fractional positions:
Rb1 0.000 0.500 0.500
Rb2 0.500 0.000 0.500
Rb3 0.500 0.500 0.000
Sm1 0.000 0.000 0.500
Sm2 0.000 0.500 0.000
Sm3 0.500 0.000 0.000
Bi1 0.500 0.500 0.500
S1 0.231 0.231 0.231
S2 0.237 0.727 0.727
S3 0.273 0.273 0.763
S4 0.273 0.763 0.273
S5 0.727 0.237 0.727
S6 0.727 0.727 0.237
S7 0.763 0.273 0.273
S8 0.769 0.769 0.769

Properties
Crystal system: trigonal
Symmetry: R-3m (166)
E (eV/atom): -5.086
Total magnetic moment (μB per atom): 0.00
Calculated volume (Å³/cell): 461.66